The following is a PBE-GGA calculation of a geometry-optimized YTa2Re structure, from Alexandria via LeMat-Bulk.

Results
Energy relative to the elements ... 0.348 eV per atom
DOS at the Fermi energy ... 10.33 states/eV per cell
Offset from the most stable computed form ... 256 meV/atom
Total energy ... -10.306 eV/atom

Cell lengths 3.1055, 3.1055, 28.6719 Å; angles 90.00, 90.00, 120.00 degrees
Fractional coordinates of all 12 atoms:
1 Y 0.0000 0.0000 0.0000
2 Y 0.3333 0.6667 0.6667
3 Y 0.6667 0.3333 0.3333
4 Ta 0.0000 0.0000 0.2380
5 Ta 0.0000 0.0000 0.7620
6 Ta 0.3333 0.6667 0.4287
7 Ta 0.3333 0.6667 0.9046
8 Ta 0.6667 0.3333 0.0954
9 Ta 0.6667 0.3333 0.5713
10 Re 0.0000 0.0000 0.5000
11 Re 0.3333 0.6667 0.1667
12 Re 0.6667 0.3333 0.8333